1.
Density functional theory data (PBE-GGA) for a relaxed GdTmBi crystal.

Calculated values
E above lowest polymorph (meV per atom): 0.0
Total energy (eV for the cell shown): -47.76
Crystal system: tetragonal

a = 4.040 Å, b = 4.040 Å, c = 10.872 Å
α = 90.00°, β = 90.00°, γ = 90.00°
Space group I4mm (No. 107)
Inequivalent atoms, fractional coordinates:
Gd 0.000 0.000 0.000 (multiplicity 2)
Tm 0.000 0.000 0.313 (multiplicity 2)
Bi 0.000 0.000 0.662 (multiplicity 2)

***

2.
Density functional theory data (PBE-GGA) for a relaxed Gd2TmBi crystal.

Calculated values
E above lowest polymorph (meV per atom): 21.1
Total energy (eV for the cell shown): -38.01
Crystal system: tetragonal

a = 4.895 Å, b = 4.895 Å, c = 4.897 Å
α = 90.00°, β = 90.00°, γ = 90.00°
Space group P4/mmm (No. 123)
Inequivalent atoms, fractional coordinates:
Gd 0.000 0.500 0.000 (multiplicity 2)
Tm 0.000 0.000 0.500 (multiplicity 1)
Bi 0.500 0.500 0.500 (multiplicity 1)

***

3.
Density functional theory data (PBE-GGA) for a relaxed GdTmBi crystal.

Calculated values
E above lowest polymorph (meV per atom): 209.0
Total energy (eV for the cell shown): -23.25
Crystal system: trigonal

a = 5.2569 Å, b = 5.2569 Å, c = 3.8451 Å
α = 90.00°, β = 90.00°, γ = 120.00°
Space group P3m1 (No. 156)
Inequivalent atoms, fractional coordinates:
Gd 0.0000 0.0000 0.0000 (multiplicity 1)
Tm 0.3333 0.6667 0.5363 (multiplicity 1)
Bi 0.6667 0.3333 0.3110 (multiplicity 1)

***

4.
Density functional theory data (PBE-GGA) for a relaxed Gd2TmBi crystal.

Calculated values
E above lowest polymorph (meV per atom): 196.0
Total energy (eV for the cell shown): -111.92
Crystal system: trigonal

a = 3.6401 Å, b = 3.6401 Å, c = 32.8661 Å
α = 90.00°, β = 90.00°, γ = 120.00°
Space group R-3m (No. 166, hexagonal axes)
Inequivalent atoms, fractional coordinates:
Gd 0.0000 0.0000 0.2466 (multiplicity 6)
Tm 0.0000 0.0000 0.0000 (multiplicity 3)
Bi 0.0000 0.0000 0.5000 (multiplicity 3)